# BaAcGaSn GGA-PBE relaxed
data_BaAcGaSn
_space_group_name_H-M_alt 'F -4 3 m'
_space_group_IT_number 216
_space_group_name_Hall 'F -4 2 3'
_cell_length_a 8.1977
_cell_length_b 8.1977
_cell_length_c 8.1977
_cell_angle_alpha 90.00
_cell_angle_beta 90.00
_cell_angle_gamma 90.00
loop_
_atom_site_label
_atom_site_type_symbol
_atom_site_fract_x
_atom_site_fract_y
_atom_site_fract_z
_atom_site_occupancy
Ba1 Ba 0.0000 0.0000 0.0000 1
Ac1 Ac 0.0000 0.0000 0.5000 1
Ga1 Ga 0.2500 0.2500 0.2500 1
Sn1 Sn 0.2500 0.2500 0.7500 1
# Calculated volume = 550.90 Å³/cell
# ΔE_f = -0.4402 eV per atom
# Calculated total energy = -3.705 eV/atom



# SrAlW3 GGA-PBE relaxed
data_SrAlW3
_space_group_name_H-M_alt 'P m -3 m'
_space_group_IT_number 221
_space_group_name_Hall '-P 4 2 3'
_cell_length_a 4.7671
_cell_length_b 4.7671
_cell_length_c 4.7671
_cell_angle_alpha 90.00
_cell_angle_beta 90.00
_cell_angle_gamma 90.00
loop_
_atom_site_label
_atom_site_type_symbol
_atom_site_fract_x
_atom_site_fract_y
_atom_site_fract_z
_atom_site_occupancy
Sr1 Sr 0.0000 0.0000 0.0000 1
Al1 Al 0.5000 0.5000 0.5000 1
W1 W 0.0000 0.5000 0.5000 1
# Calculated volume = 108.33 Å³/cell
# ΔE_f = 1.8118 eV per atom
# Calculated total energy = -7.045 eV/atom
# Polymorph energy (0 for the lowest one) = 0 meV per atom



# DyNbNi2 GGA-PBE relaxed
data_DyNbNi2
_space_group_name_H-M_alt 'P 4/m m m'
_space_group_IT_number 123
_space_group_name_Hall '-P 4 2'
_cell_length_a 3.2085
_cell_length_b 3.2085
_cell_length_c 6.6171
_cell_angle_alpha 90.00
_cell_angle_beta 90.00
_cell_angle_gamma 90.00
loop_
_atom_site_label
_atom_site_type_symbol
_atom_site_fract_x
_atom_site_fract_y
_atom_site_fract_z
_atom_site_occupancy
Dy1 Dy 0.0000 0.0000 0.0000 1
Nb1 Nb 0.0000 0.0000 0.5000 1
Ni1 Ni 0.5000 0.5000 0.3012 1
# Calculated volume = 68.12 Å³/cell
# ΔE_f = -0.1925 eV per atom
# Calculated total energy = -6.751 eV/atom
# Polymorph energy (0 for the lowest one) = 29 meV per atom



# Rb2GaSiS4 GGA-PBE relaxed
data_Rb2GaSiS4
_space_group_name_H-M_alt 'F d d d'
_space_group_IT_number 70
_cell_length_a 6.0595
_cell_length_b 13.5976
_cell_length_c 24.1530
_cell_angle_alpha 90.00
_cell_angle_beta 90.00
_cell_angle_gamma 90.00
loop_
_space_group_symop_operation_xyz
'x,y,z'
'-x,-y,-z'
'-x+1/4,-y+1/4,z'
'x+1/4,y+1/4,-z'
'x,-y+1/4,-z+1/4'
'-x,y+1/4,z+1/4'
'-x+1/4,y,-z+1/4'
'x+1/4,-y,z+1/4'
'x,y+1/2,z+1/2'
'-x,-y+1/2,-z+1/2'
'-x+1/4,-y+3/4,z+1/2'
'x+1/4,y+3/4,-z+1/2'
'x,-y+3/4,-z+3/4'
'-x,y+3/4,z+3/4'
'-x+1/4,y+1/2,-z+3/4'
'x+1/4,-y+1/2,z+3/4'
'x+1/2,y,z+1/2'
'-x+1/2,-y,-z+1/2'
'-x+3/4,-y+1/4,z+1/2'
'x+3/4,y+1/4,-z+1/2'
'x+1/2,-y+1/4,-z+3/4'
'-x+1/2,y+1/4,z+3/4'
'-x+3/4,y,-z+3/4'
'x+3/4,-y,z+3/4'
'x+1/2,y+1/2,z'
'-x+1/2,-y+1/2,-z'
'-x+3/4,-y+3/4,z'
'x+3/4,y+3/4,-z'
'x+1/2,-y+3/4,-z+1/4'
'-x+1/2,y+3/4,z+1/4'
'-x+3/4,y+1/2,-z+1/4'
'x+3/4,-y+1/2,z+1/4'
loop_
_atom_site_label
_atom_site_type_symbol
_atom_site_fract_x
_atom_site_fract_y
_atom_site_fract_z
_atom_site_occupancy
Rb1 Rb 0.1250 0.1250 0.3045 1
Ga1 Ga 0.1250 0.1250 0.1250 1
Si1 Si 0.1250 0.1250 0.6250 1
S1 S 0.0835 0.2827 0.8250 1
# Calculated volume = 1990.08 Å³/cell
# Calculated total energy = -4.210 eV/atom



# La3TcGe GGA-PBE relaxed
data_La3TcGe
_space_group_name_H-M_alt 'C 1 2/m 1'
_space_group_IT_number 12
_cell_length_a 16.3528
_cell_length_b 4.2250
_cell_length_c 8.5126
_cell_angle_alpha 90.00
_cell_angle_beta 92.27
_cell_angle_gamma 90.00
loop_
_space_group_symop_operation_xyz
'x,y,z'
'-x,-y,-z'
'-x,y,-z'
'x,-y,z'
'x+1/2,y+1/2,z'
'-x+1/2,-y+1/2,-z'
'-x+1/2,y+1/2,-z'
'x+1/2,-y+1/2,z'
loop_
_atom_site_label
_atom_site_type_symbol
_atom_site_fract_x
_atom_site_fract_y
_atom_site_fract_z
_atom_site_occupancy
La1 La 0.0431 0.0000 0.1703 1
La2 La 0.0997 0.5000 0.5452 1
La3 La 0.2384 0.0000 0.8225 1
Tc1 Tc 0.2121 0.0000 0.4841 1
Ge1 Ge 0.1050 0.5000 0.9226 1
# Calculated volume = 587.68 Å³/cell
# ΔE_f = -0.2933 eV per atom
# Calculated total energy = -6.246 eV/atom
# Polymorph energy (0 for the lowest one) = 0 meV per atom



# Tm5Ga2Ag2 GGA-PBE relaxed
data_Tm5Ga2Ag2
_space_group_name_H-M_alt 'C m c e'
_space_group_IT_number 64
_space_group_name_Hall '-C 2ac 2'
_cell_length_a 15.4240
_cell_length_b 8.1430
_cell_length_c 7.0716
_cell_angle_alpha 90.00
_cell_angle_beta 90.00
_cell_angle_gamma 90.00
loop_
_atom_site_label
_atom_site_type_symbol
_atom_site_fract_x
_atom_site_fract_y
_atom_site_fract_z
_atom_site_occupancy
Tm1 Tm 0.0000 0.0000 0.0000 1
Tm2 Tm 0.1443 0.1821 0.3445 1
Ga1 Ga 0.2042 0.0000 0.0000 1
Ag1 Ag 0.0000 0.1343 0.6243 1
# Calculated volume = 888.18 Å³/cell
# ΔE_f = -0.3333 eV per atom
# Calculated total energy = -4.124 eV/atom